Compound: CaHgPd3
Source: Alexandria
Functional: GGA-PBE
Structure: optimized geometry

The structure in extended XYZ format:
```
5
Lattice="5.064 0.000 0.000 0.000 5.064 0.000 0.000 0.000 5.064" Properties=species:S:1:pos:R:3 pbc="T T T"
Ca 2.532 2.532 2.532
Hg 0.000 0.000 0.000
Pd 0.000 2.532 0.000
Pd 0.000 0.000 2.532
Pd 2.532 0.000 0.000
```

Space group: No. 221
Crystal system: cubic
DFT formation energy (eV/atom): 0.21

Compound: Tm6SnIr
Source: Alexandria
Functional: GGA-PBE
Structure: optimized geometry

The structure in extended XYZ format:
```
8
Lattice="-4.369 -5.041 0.925 3.026 -5.515 3.000 0.232 -0.723 6.531" Properties=species:S:1:pos:R:3 pbc="T T T"
Tm -1.622 -6.802 6.161
Tm -2.830 -4.528 3.466
Tm 1.719 -6.751 6.991
Tm 0.510 -4.477 4.296
Tm -0.916 -7.720 2.888
Tm -0.427 -2.835 1.037
Sn 0.000 0.000 0.000
Ir -0.672 -5.278 1.963
```

Space group: No. 12
Crystal system: monoclinic
DFT formation energy (eV/atom): -0.23

Compound: Ho3SnPt
Source: Alexandria
Functional: GGA-PBE
Structure: optimized geometry

The structure in extended XYZ format:
```
10
Lattice="5.231 -0.058 0.376 -2.698 6.112 -0.971 0.639 -3.617 8.896" Properties=species:S:1:pos:R:3 pbc="T T T"
Ho 0.101 -0.607 5.902
Ho 2.717 -2.092 8.113
Ho 0.350 0.500 2.169
Ho 3.071 3.044 2.400
Ho 2.822 1.937 6.132
Ho 0.455 4.529 0.189
Sn 0.310 2.856 4.262
Sn 2.863 -0.419 4.040
Pt -0.571 1.817 -0.204
Pt 3.744 0.620 8.506
```

Space group: No. 2
Crystal system: triclinic
DFT formation energy (eV/atom): -0.79

Compound: LaAl9Fe2
Source: Alexandria
Functional: GGA-PBE
Structure: optimized geometry

The structure in extended XYZ format:
```
24
Lattice="6.226 0.000 2.866 3.113 7.529 1.433 -0.035 0.000 8.272" Properties=species:S:1:pos:R:3 pbc="T T T"
La 3.113 0.000 1.433
La 3.095 3.765 5.569
Al 6.209 3.765 7.003
Al 0.000 0.000 0.000
Al 2.968 6.958 6.988
Al 4.090 0.571 4.550
Al 4.847 1.342 7.004
Al 5.324 6.187 5.967
Al 7.093 6.187 8.038
Al 1.344 1.342 4.135
Al 3.223 6.958 4.151
Al 2.101 0.571 6.589
Al 6.319 4.335 9.720
Al 2.118 3.194 2.453
Al 1.326 2.422 8.271
Al 3.998 5.107 2.468
Al 2.193 5.107 8.670
Al 4.865 2.422 2.868
Al 6.099 4.335 4.285
Al 4.073 3.194 8.686
Fe 6.200 1.882 9.071
Fe 7.774 5.647 5.651
Fe 6.217 1.882 4.935
Fe 4.643 5.647 8.354
```

Space group: No. 141
Crystal system: tetragonal
DFT formation energy (eV/atom): -0.35

Compound: SrPm2Dy
Source: Alexandria
Functional: GGA-PBE
Structure: optimized geometry

The structure in extended XYZ format:
```
4
Lattice="-3.567 -0.846 0.629 -1.067 -1.181 3.362 -3.710 10.986 4.740" Properties=species:S:1:pos:R:3 pbc="T T T"
Sr -4.170 4.469 4.362
Pm -3.212 8.305 3.956
Pm -2.043 2.006 2.114
Dy -3.091 -1.343 2.663
```

Space group: No. 160
Crystal system: trigonal
DFT formation energy (eV/atom): 0.10

Compound: LaIr2Pd
Source: Alexandria
Functional: GGA-PBE
Structure: optimized geometry

The structure in extended XYZ format:
```
4
Lattice="0.000 3.342 3.342 3.342 0.000 3.342 3.342 3.342 0.000" Properties=species:S:1:pos:R:3 pbc="T T T"
Ir 1.671 1.671 1.671
Ir 5.014 5.014 5.014
Pd 0.000 0.000 0.000
La 3.342 3.342 3.342
```

Space group: No. 225
Crystal system: cubic
DFT formation energy (eV/atom): 0.06

Compound: LiTl2VI6
Source: Alexandria
Functional: GGA-PBE
Structure: optimized geometry

The structure in extended XYZ format:
```
10
Lattice="8.084 -0.002 0.009 4.040 7.023 0.014 4.048 2.349 6.528" Properties=species:S:1:pos:R:3 pbc="T T T"
Li 12.136 7.038 3.677
Tl 8.083 4.682 2.359
Tl 4.049 2.343 5.834
V 4.040 2.342 0.222
I 6.262 1.743 1.790
I 2.419 0.716 1.797
I 3.456 4.556 1.799
I 9.660 6.332 5.110
I 8.719 2.501 5.114
I 5.872 5.235 5.122
```

Space group: No. 1
Crystal system: triclinic
Formation energy without anion corrections (eV/atom): -0.63

Compound: Dy2NpPdN4
Source: Alexandria
Functional: GGA-PBE
Structure: optimized geometry

The structure in extended XYZ format:
```
8
Lattice="3.597 0.000 0.000 0.000 5.669 0.407 0.000 -1.694 5.446" Properties=species:S:1:pos:R:3 pbc="T T T"
Dy 1.799 -0.847 2.723
Dy 0.000 1.988 2.927
Np 1.799 2.834 0.204
Pd 0.000 0.000 0.000
N 1.799 1.338 1.562
N 1.799 2.638 4.291
N 0.000 0.105 4.235
N 0.000 3.870 1.618
```

Space group: No. 10
Crystal system: monoclinic
Formation energy without anion corrections (eV/atom): -1.01

Compound: Sm3Y4
Source: Alexandria
Functional: GGA-PBE
Structure: optimized geometry

The structure in extended XYZ format:
```
7
Lattice="-0.089 3.325 -1.149 1.510 -2.793 -8.198 -8.244 -0.672 4.085" Properties=species:S:1:pos:R:3 pbc="T T T"
Sm 0.000 0.000 0.000
Sm -3.224 -0.385 -0.863
Sm -3.599 0.246 -4.399
Y -0.612 -1.120 -3.194
Y -6.211 0.981 -2.069
Y -5.827 0.340 1.435
Y -0.996 -0.479 -6.697
```

Space group: No. 12
Crystal system: monoclinic
DFT formation energy (eV/atom): 0.12

Compound: SrC7
Source: Alexandria
Functional: GGA-PBE
Structure: optimized geometry

The structure in extended XYZ format:
```
8
Lattice="-1.497 -4.607 -1.015 -4.363 -1.613 1.690 -3.748 -0.748 -3.144" Properties=species:S:1:pos:R:3 pbc="T T T"
Sr 0.000 0.000 0.000
C -2.181 -0.807 0.845
C -2.930 -3.110 0.337
C -4.055 -1.181 -0.727
C -2.622 -2.677 -2.079
C -1.874 -0.374 -1.572
C -0.748 -2.303 -0.507
C -4.804 -3.484 -1.235
```

Space group: No. 225
Crystal system: cubic
DFT formation energy (eV/atom): 4.13

Compound: BaAc6Tl5
Source: Alexandria
Functional: GGA-PBE
Structure: optimized geometry

The structure in extended XYZ format:
```
12
Lattice="5.564 -0.033 1.854 0.044 8.303 0.015 -0.098 -0.016 9.569" Properties=species:S:1:pos:R:3 pbc="T T T"
Ac 4.570 6.170 4.945
Ac 4.548 2.068 4.938
Ac 2.794 2.296 0.931
Ac 2.814 5.975 0.938
Ac 0.961 6.186 6.500
Ac 0.940 2.084 6.492
Ba 0.000 0.000 0.000
Tl 3.659 4.119 7.642
Tl 1.930 -0.016 3.482
Tl 0.022 4.152 0.007
Tl 3.535 -0.033 7.941
Tl 1.850 4.135 3.796
```

Space group: No. 65
Crystal system: orthorhombic
DFT formation energy (eV/atom): -0.24

Compound: TbHoErMg
Source: Alexandria
Functional: GGA-PBE
Structure: optimized geometry

The structure in extended XYZ format:
```
4
Lattice="-1.647 -3.145 -0.239 0.239 -0.393 3.528 -8.185 4.209 1.023" Properties=species:S:1:pos:R:3 pbc="T T T"
Tb -7.321 1.633 2.472
Ho -0.599 0.308 0.075
Er -3.442 -0.361 1.987
Mg -4.654 2.393 0.582
```

Space group: No. 99
Crystal system: tetragonal
DFT formation energy (eV/atom): -0.02

Compound: SiTe2Au
Source: Alexandria
Functional: GGA-PBE
Structure: optimized geometry

The structure in extended XYZ format:
```
4
Lattice="4.052 -0.004 0.022 2.021 3.512 0.022 2.036 1.176 6.752" Properties=species:S:1:pos:R:3 pbc="T T T"
Au 6.082 3.513 5.097
Si 2.027 1.171 1.699
Te 6.078 3.511 0.126
Te 4.049 2.339 3.316
```

Space group: No. 12
Crystal system: monoclinic
Formation energy without anion corrections (eV/atom): 0.05

Compound: BaSrCdIr
Source: Alexandria
Functional: GGA-PBE
Structure: optimized geometry

The structure in extended XYZ format:
```
4
Lattice="-3.216 0.705 -2.283 -1.692 -3.193 1.399 -2.035 4.465 7.730" Properties=species:S:1:pos:R:3 pbc="T T T"
Sr -3.972 3.810 3.891
Ir -3.090 0.873 -1.746
Ba -1.696 -0.140 2.996
Cd -4.158 3.118 7.453
```

Space group: No. 6
Crystal system: monoclinic
DFT formation energy (eV/atom): 0.04

Compound: Mn2RuSe
Source: Alexandria
Functional: GGA-PBE
Structure: optimized geometry

The structure in extended XYZ format:
```
4
Lattice="4.226 0.000 0.000 2.113 3.660 0.000 2.113 1.220 3.450" Properties=species:S:1:pos:R:3 pbc="T T T"
Mn 0.000 0.000 0.000
Mn 2.113 1.220 0.863
Ru 4.226 2.440 1.725
Se 6.338 3.660 2.588
```

Space group: No. 216
Crystal system: cubic
Formation energy without anion corrections (eV/atom): 0.26

Compound: NdHo4Cd
Source: Alexandria
Functional: GGA-PBE
Structure: optimized geometry

The structure in extended XYZ format:
```
12
Lattice="6.018 0.519 0.519 2.526 5.487 0.519 1.849 1.300 11.504" Properties=species:S:1:pos:R:3 pbc="T T T"
Nd 3.933 0.910 6.012
Nd 1.263 2.743 0.259
Ho 4.564 2.556 8.985
Ho 3.623 4.435 6.229
Ho 6.769 2.871 6.313
Ho 3.026 2.780 3.233
Ho 7.366 4.526 9.309
Ho 5.917 6.048 12.066
Ho 4.476 1.258 0.476
Ho 5.828 4.750 3.557
Cd 6.208 1.231 3.395
Cd 4.184 6.075 9.147
```

Space group: No. 15
Crystal system: monoclinic
DFT formation energy (eV/atom): -0.02

Compound: SmGaNi2H
Source: Alexandria
Functional: GGA-PBE
Structure: optimized geometry

The structure in extended XYZ format:
```
10
Lattice="-0.985 -2.821 2.333 5.261 -0.630 -1.620 2.145 3.794 5.494" Properties=species:S:1:pos:R:3 pbc="T T T"
Sm 5.781 1.061 3.724
Sm 0.640 -0.717 2.483
Ga 3.216 0.537 5.087
Ga 3.205 -0.193 1.120
Ni 3.536 2.932 5.039
Ni 2.886 -2.589 1.168
Ni 2.706 1.465 2.914
Ni 3.715 -1.122 3.293
H 0.000 0.000 0.000
H 1.073 1.897 2.747
```

Electronic total energy (hartree per atom): -0.186
Space group: No. 63
Crystal system: orthorhombic

Compound: ZrTcMoOs
Source: Alexandria
Functional: GGA-PBE
Structure: optimized geometry

The structure in extended XYZ format:
```
4
Lattice="-2.660 0.982 3.531 -4.498 0.115 -0.516 -2.576 -3.227 1.861" Properties=species:S:1:pos:R:3 pbc="T T T"
Mo 0.000 0.000 0.000
Os -2.434 -0.532 1.219
Tc -7.301 -1.597 3.657
Zr -4.867 -1.065 2.438
```

Space group: No. 216
Crystal system: cubic
DFT formation energy (eV/atom): -0.12

Compound: DyNiRh
Source: Alexandria
Functional: GGA-PBE
Structure: optimized geometry

The structure in extended XYZ format:
```
6
Lattice="5.039 0.000 0.000 2.520 4.555 0.023 2.520 1.315 4.361" Properties=species:S:1:pos:R:3 pbc="T T T"
Dy 6.299 2.173 1.624
Dy 3.779 3.696 2.761
Ni 0.000 0.000 0.000
Ni 2.520 0.000 0.000
Rh 3.779 2.277 0.012
Rh 3.779 0.657 2.181
```

Space group: No. 74
Crystal system: orthorhombic
DFT formation energy (eV/atom): -0.62

Compound: Ce8TlGa2
Source: Alexandria
Functional: GGA-PBE
Structure: optimized geometry

The structure in extended XYZ format:
```
11
Lattice="5.583 0.846 0.000 1.482 8.232 0.000 0.741 4.116 6.796" Properties=species:S:1:pos:R:3 pbc="T T T"
Ce 5.420 2.252 1.436
Ce 6.161 6.368 5.360
Ce 2.466 3.678 0.000
Ce 4.274 8.655 3.273
Ce 3.533 4.539 3.523
Ce 4.599 5.399 0.000
Ce 1.645 6.825 1.436
Ce 2.386 10.941 5.360
Tl 2.792 0.423 0.000
Ga 0.741 4.116 2.565
Ga 1.482 8.232 4.231
```

Space group: No. 12
Crystal system: monoclinic
DFT formation energy (eV/atom): -0.15

Compound: TaTiCdIn2
Source: Alexandria
Functional: GGA-PBE
Structure: optimized geometry

The structure in extended XYZ format:
```
5
Lattice="5.332 0.000 0.000 0.000 4.713 0.000 0.000 0.000 5.332" Properties=species:S:1:pos:R:3 pbc="T T T"
Cd 2.666 2.356 2.666
In 0.000 0.000 2.666
In 2.666 0.000 0.000
Ti 0.000 0.000 0.000
Ta 0.000 2.356 0.000
```

Space group: No. 123
Crystal system: tetragonal
DFT formation energy (eV/atom): 0.87

Compound: Y2MnTlAs
Source: Alexandria
Functional: GGA-PBE
Structure: optimized geometry

The structure in extended XYZ format:
```
5
Lattice="-3.984 4.013 -0.698 -1.451 -0.485 5.489 3.568 3.764 1.276" Properties=species:S:1:pos:R:3 pbc="T T T"
Y -0.725 -0.243 2.744
Y -1.992 2.006 -0.349
Tl 0.000 0.000 0.000
Mn -0.934 3.646 3.033
As 1.784 1.882 0.638
```

Space group: No. 123
Crystal system: tetragonal
DFT formation energy (eV/atom): 0.88

Compound: In3Ga2Hg2
Source: Alexandria
Functional: GGA-PBE
Structure: optimized geometry

The structure in extended XYZ format:
```
7
Lattice="4.401 0.000 0.584 0.000 3.298 0.000 0.659 0.000 11.910" Properties=species:S:1:pos:R:3 pbc="T T T"
In 3.922 0.000 4.195
In 4.401 0.000 0.584
In 1.138 0.000 8.299
Ga 3.526 1.649 7.178
Ga 1.534 1.649 5.317
Hg 3.091 1.649 10.454
Hg 1.969 1.649 2.040
```

Space group: No. 65
Crystal system: orthorhombic
DFT formation energy (eV/atom): 0.04

Compound: LaPr4Y5
Source: Alexandria
Functional: GGA-PBE
Structure: optimized geometry

The structure in extended XYZ format:
```
10
Lattice="-1.481 3.337 0.373 -1.813 -0.452 -3.158 -19.619 -10.124 12.711" Properties=species:S:1:pos:R:3 pbc="T T T"
La 0.000 0.000 0.000
Pr -3.934 -2.030 2.549
Pr -7.852 -4.052 5.087
Pr -11.767 -6.072 7.624
Pr -15.685 -8.094 10.162
Y -3.629 0.420 -0.109
Y -7.542 -1.599 2.426
Y -11.456 -3.619 4.963
Y -15.371 -5.640 7.499
Y -19.284 -7.659 10.034
```

Space group: No. 123
Crystal system: tetragonal
DFT formation energy (eV/atom): 0.02

Compound: Li6CdAg5
Source: Alexandria
Functional: GGA-PBE
Structure: optimized geometry

The structure in extended XYZ format:
```
12
Lattice="5.052 0.062 0.000 1.854 9.059 0.000 0.927 4.530 4.474" Properties=species:S:1:pos:R:3 pbc="T T T"
Li 4.249 2.362 1.516
Li 2.657 6.759 1.516
Li 1.761 2.329 0.000
Li 5.145 6.792 0.000
Li 5.177 6.891 2.958
Li 3.584 11.289 2.958
Cd 0.000 0.000 0.000
Ag 3.453 4.560 2.975
Ag 0.927 4.530 1.484
Ag 3.453 4.560 0.000
Ag 1.854 9.059 2.990
Ag 4.380 9.090 1.498
```

Space group: No. 12
Crystal system: monoclinic
DFT formation energy (eV/atom): -0.16